VASP calculation (GGA-PBE) on an optimized crystal structure of Rb3LiTl2Br6.

- Crystal system: monoclinic
- Spin magnetization: 0.00 μB/cell
- Raw formation energy: -1.3739 eV per atom
- Raw total energy: -3.006 eV per atom
- DOS(E_F): 0.00 states/eV/f.u.
- Symmetry: C2/m (12)

a b c (Å): 8.2390 8.2390 8.1482
angles (deg): 99.77 99.77 120.00
Atoms (fractional coordinates):
Rb 0.0000 0.0000 0.0000
Rb 0.3267 0.6733 0.0000
Rb 0.6733 0.3267 0.0000
Li 0.5000 0.5000 0.5000
Tl 0.1645 0.8355 0.5000
Tl 0.8355 0.1645 0.5000
Br 0.1217 0.4256 0.2758
Br 0.2770 0.2770 0.7229
Br 0.4256 0.1217 0.2758
Br 0.5744 0.8783 0.7242
Br 0.7230 0.7230 0.2771
Br 0.8783 0.5744 0.7242